AsAuIO2: relaxed, PBE. Values from VASP.

As for the magnetization: 0.00 μB/cell. The relative energy among the computed polymorphs comes out at 0.0 meV per atom. Its space-group type is P4/mmm, No. 123.

Quantum ESPRESSO input file:
```
&SYSTEM
  ibrav = 0, nat = 5, ntyp = 4
/
ATOMIC_SPECIES
I 126.90 I.upf
As 74.92 As.upf
Au 196.97 Au.upf
O 16.00 O.upf
ATOMIC_POSITIONS crystal
I 0.0000 0.0000 0.5000
As 0.0000 0.0000 0.0000
Au 0.5000 0.5000 0.5000
O 0.0000 0.5000 0.0000
O 0.5000 0.0000 0.0000
CELL_PARAMETERS angstrom
-3.2280 1.8599 1.0353
-2.0951 -3.1086 -0.9477
0.6574 -2.3610 6.2910
```

=====

BiTe2Cl2: relaxed, PBE. Values from VASP.

As for the magnetization: 0.00 μB/cell. The relative energy among the computed polymorphs comes out at 519.5 meV per atom. Its space-group type is P4/mbm, No. 127.

Quantum ESPRESSO input file:
```
&SYSTEM
  ibrav = 0, nat = 10, ntyp = 3
/
ATOMIC_SPECIES
Te 127.60 Te.upf
Bi 208.98 Bi.upf
Cl 35.45 Cl.upf
ATOMIC_POSITIONS crystal
Te 0.3812 0.8812 0.0000
Te 0.8812 0.6188 0.0000
Te 0.6188 0.1188 0.0000
Te 0.1188 0.3812 0.0000
Bi 0.0000 0.0000 0.0000
Bi 0.5000 0.5000 0.0000
Cl 0.1878 0.6878 0.5000
Cl 0.6878 0.8122 0.5000
Cl 0.8122 0.3122 0.5000
Cl 0.3122 0.1878 0.5000
CELL_PARAMETERS angstrom
-5.6840 -0.8653 -6.7638
4.1123 -7.4589 -2.5016
-2.0706 -1.8025 1.9706
```

=====

Zr3SiAg: relaxed, PBE. Values from VASP.

As for the magnetization: 0.00 μB/cell. The relative energy among the computed polymorphs comes out at 746.1 meV per atom. Its space-group type is Pm-3m, No. 221.

Quantum ESPRESSO input file:
```
&SYSTEM
  ibrav = 0, nat = 5, ntyp = 3
/
ATOMIC_SPECIES
Si 28.09 Si.upf
Zr 91.22 Zr.upf
Ag 107.87 Ag.upf
ATOMIC_POSITIONS crystal
Si 0.5000 0.5000 0.5000
Zr 0.0000 0.5000 0.0000
Zr 0.0000 0.0000 0.5000
Zr 0.5000 0.0000 0.0000
Ag 0.0000 0.0000 0.0000
CELL_PARAMETERS angstrom
-3.0962 3.4461 2.0925
-2.1573 -3.6450 2.8108
3.4059 0.8240 3.6825
```

=====

| no. | E_form (uncorrected) (eV/atom) |
| --- | --- |
| 1 | -0.135 |
| 2 | 0.066 |
| 3 | 0.969 |